Record 1
A relaxed BaFe2Ir crystal. Source: Alexandria, functional GGA-PBE.

The value obtained for the magnetization is 5.97 μB per formula unit. The energy of formation from the pure elements comes out at 821 meV/atom.

It has space group Fm-3m (No. 225), with a = 6.6460 Å, b = 6.6460 Å, c = 6.6460 Å, α = 90.00°, β = 90.00° and γ = 90.00°. The inequivalent atoms are Ba at (0.0000, 0.0000, 0.0000), Fe at (0.2500, 0.2500, 0.2500) and Ir at (0.0000, 0.0000, 0.5000).

Record 2
A relaxed YRe2Tc crystal. Source: Alexandria, functional GGA-PBE.

The value obtained for the magnetization is 0.00 μB per formula unit. The energy of formation from the pure elements comes out at 384 meV/atom. As for the energy above the most stable polymorph in this dataset: 184 meV per atom.

It has space group Fm-3m (No. 225), with a = 6.4670 Å, b = 6.4670 Å, c = 6.4670 Å, α = 90.00°, β = 90.00° and γ = 90.00°. The inequivalent atoms are Y at (0.0000, 0.0000, 0.0000), Re at (0.2500, 0.2500, 0.2500) and Tc at (0.0000, 0.0000, 0.5000).

Record 3
A relaxed PrDy2Cl crystal. Source: Alexandria, functional GGA-PBE.

The value obtained for the magnetization is 0.00 μB per formula unit. The calculation puts the uncorrected formation energy at -9.2 kcal/mol of atoms.

It has space group R-3m (No. 166, hexagonal axes), with a = 3.4564 Å, b = 3.4564 Å, c = 33.6965 Å, α = 90.00°, β = 90.00° and γ = 120.00°. The inequivalent atoms are Pr at (0.0000, 0.0000, 0.0000), Dy at (0.0000, 0.0000, 0.1013) and Cl at (0.0000, 0.0000, 0.5000).

Record 4
A relaxed KIn2PtPb crystal. Source: Alexandria, functional GGA-PBE.

The value obtained for the magnetization is 0.00 μB per formula unit. The energy of formation from the pure elements comes out at -120 meV/atom.

It has space group P4/mmm (No. 123), with a = 5.2538 Å, b = 5.2538 Å, c = 5.7185 Å, α = 90.00°, β = 90.00° and γ = 90.00°. The inequivalent atoms are K at (0.0000, 0.0000, 0.0000), In at (0.0000, 0.5000, 0.5000), Pt at (0.5000, 0.5000, 0.5000) and Pb at (0.5000, 0.5000, 0.0000).

Record 5
A relaxed Ga2Pd2Pt crystal. Source: Alexandria, functional GGA-PBE.

The value obtained for the magnetization is 0.00 μB per formula unit. The energy of formation from the pure elements comes out at -604 meV/atom. As for the energy above the most stable polymorph in this dataset: 0 meV per atom.

It has space group Cmc2_1 (No. 36), with a = 4.0896 Å, b = 13.9086 Å, c = 5.4525 Å, α = 90.00°, β = 90.00° and γ = 90.00°. The inequivalent atoms are Ga at (0.0000, 0.0694, 0.0000), Ga at (0.0000, 0.2941, 0.1453), Pd at (0.0000, 0.3210, 0.6250), Pd at (0.0000, 0.4778, 0.2456) and Pt at (0.0000, 0.1200, 0.4604).

Record 6
A relaxed CsSrF3 crystal. Source: Alexandria, functional GGA-PBE.

The value obtained for the magnetization is 0.00 μB per formula unit. As for the energy above the most stable polymorph in this dataset: 28 meV per atom. The calculation puts the uncorrected formation energy at -78.5 kcal/mol of atoms.

It has space group P2_1/m (No. 11), with a = 3.9930 Å, b = 6.2903 Å, c = 8.5228 Å, α = 90.00°, β = 90.04° and γ = 90.00°. The inequivalent atoms are Cs at (0.2493, 0.2500, 0.3719), Sr at (0.2502, 0.7500, 0.1011), F at (0.2498, 0.0049, 0.8746) and F at (0.2504, 0.7500, 0.3840).